Record 1
# SN | Alexandria via LeMat-Bulk | PBE-GGA | optimized geometry
data_SN
_symmetry_space_group_name_H-M 'P 1 21/c 1'
_symmetry_Int_Tables_number 14
_cell_length_a 4.389
_cell_length_b 4.294
_cell_length_c 9.027
_cell_angle_alpha 90.00
_cell_angle_beta 104.90
_cell_angle_gamma 90.00
loop_
_symmetry_equiv_pos_as_xyz
'x,y,z'
'-x,-y,-z'
'-x,y+1/2,-z+1/2'
'x,-y+1/2,z+1/2'
loop_
_atom_site_label
_atom_site_type_symbol
_atom_site_fract_x
_atom_site_fract_y
_atom_site_fract_z
S1 S 0.201 0.103 0.100
N1 N 0.187 0.558 0.432
# uncorrected formation energy = 0.686 eV per atom

---

Record 2
# MgOs2W | Alexandria via LeMat-Bulk | PBE-GGA | optimized geometry
data_MgOs2W
_symmetry_space_group_name_H-M 'P m m 2'
_symmetry_Int_Tables_number 25
_cell_length_a 2.771
_cell_length_b 4.149
_cell_length_c 5.311
_cell_angle_alpha 90.00
_cell_angle_beta 90.00
_cell_angle_gamma 90.00
loop_
_symmetry_equiv_pos_as_xyz
'x,y,z'
'-x,-y,z'
'-x,y,z'
'x,-y,z'
loop_
_atom_site_label
_atom_site_type_symbol
_atom_site_fract_x
_atom_site_fract_y
_atom_site_fract_z
Mg1 Mg 0.000 0.000 0.000
Os1 Os 0.000 0.000 0.496
Os2 Os 0.500 0.500 0.215
W1 W 0.500 0.500 0.726
# formation energy from the elements = 0.27 eV/atom

---

| no. | mass density (g cm⁻³) | E_tot (eV/cell) |
| --- | --- | --- |
| 1 | 1.862 | -44.32 |
| 2 | 16.007 | -35.92 |